The following is a PBE calculation of an optimized crystal structure of TcMo2, from Alexandria.

a b c (Å): 5.0454 5.0454 5.0454
angles (deg): 105.49 105.49 117.76
Atoms (fractional coordinates):
Mo1 0.6509 0.8491 0.5000
Mo2 0.1509 0.6509 0.8018
Tc1 0.7500 0.7500 0.0000
Mo3 0.8491 0.3491 0.1982
Mo4 0.3491 0.1509 0.5000
Tc2 0.2500 0.2500 0.0000

Calculated values
total magnetic moment	0.0	Bohr magnetons per cell
Fermi-level density of states	6.3	states/eV per cell
crystal system	tetragonal
energy above the lowest structure with this stoichiometry	275	meV per atom